Entry from the Alexandria database: Pr5Y2ErTm after structural relaxation (PBE).

Results
E: -172.13 eV/cell
total magnetization: 0.0 μB per cell
formation enthalpy at 0 K: 0.314 eV per atom

Cell and atoms, written as CIF:
```
data_Pr5Y2ErTm
_chemical_formula_sum 'Pr20 Y8 Er4 Tm4'
_symmetry_space_group_name_H-M 'I 4/m c m'
_symmetry_Int_Tables_number 140
_symmetry_space_group_name_Hall '-I 4 2c'
_cell_length_a 8.5668
_cell_length_b 8.5668
_cell_length_c 17.1581
_cell_angle_alpha 90.00
_cell_angle_beta 90.00
_cell_angle_gamma 90.00
loop_
_atom_site_label
_atom_site_fract_x
_atom_site_fract_y
_atom_site_fract_z
Pr1 0.0000 0.0000 0.0000
Pr2 0.2168 0.2832 0.1438
Y1 0.1238 0.3762 0.5000
Er1 0.0000 0.0000 0.2500
Tm1 0.0000 0.5000 0.2500
```